Computed, not measured: a geometry-optimized K2HgS2 structure at the PBE level of DFT.

Results
The value obtained for the total magnetization is 0.00 Bohr magnetons per cell. Its density of states at the Fermi level is 0.00 states/eV/cell. Its space group is C2/m (12). Its electronic total energy is -0.219 Ry/atom. The formation energy without anion corrections comes out at -825 meV/atom.

a = 6.380 Å, b = 8.420 Å, c = 9.009 Å
α = 120.46°, β = 90.00°, γ = 112.26°
Fractional positions:
K  0.335  0.670  0.445
K  0.664  0.328  0.552
K  0.958  0.916  0.251
K  0.041  0.082  0.745
Hg  0.681  0.362  0.101
Hg  0.318  0.636  0.896
S  0.812  0.624  0.403
S  0.187  0.374  0.593
S  0.560  0.120  0.796
S  0.439  0.878  0.200

---

Computed, not measured: a geometry-optimized K2HgS2 structure at the PBE level of DFT.

Results
The value obtained for the total magnetization is 0.00 Bohr magnetons per cell. Its density of states at the Fermi level is 0.00 states/eV/cell. Its space group is I4/mmm (139). Its electronic total energy is -0.207 Ry/atom. The formation energy without anion corrections comes out at -666 meV/atom.

a = 6.061 Å, b = 6.061 Å, c = 6.145 Å
α = 60.45°, β = 60.45°, γ = 90.00°
Fractional positions:
S  0.378  0.378  0.244
S  0.622  0.622  0.756
K  0.750  0.250  0.500
K  0.250  0.750  0.500
Hg  0.000  0.000  0.000

---

Computed, not measured: a geometry-optimized K2Hg2S structure at the PBE level of DFT.

Results
The value obtained for the total magnetization is 0.00 Bohr magnetons per cell. Its density of states at the Fermi level is 0.00 states/eV/cell. Its space group is P4/mbm (127). Its electronic total energy is -0.132 Ry/atom. The formation energy without anion corrections comes out at -408 meV/atom.

a = 8.032 Å, b = 8.032 Å, c = 5.957 Å
α = 90.00°, β = 90.00°, γ = 90.00°
Fractional positions:
S  0.000  0.000  0.000
S  0.500  0.500  0.000
K  0.334  0.834  0.000
K  0.834  0.666  0.000
K  0.666  0.166  0.000
K  0.166  0.334  0.000
Hg  0.154  0.654  0.500
Hg  0.654  0.846  0.500
Hg  0.846  0.346  0.500
Hg  0.346  0.154  0.500

---

Computed, not measured: a geometry-optimized KHgS2 structure at the PBE level of DFT.

Results
The value obtained for the total magnetization is 0.00 Bohr magnetons per cell. Its density of states at the Fermi level is 2.50 states/eV/cell. Its space group is I-42d (122). Its electronic total energy is -0.204 Ry/atom. The formation energy without anion corrections comes out at -364 meV/atom.

a = 7.608 Å, b = 7.608 Å, c = 6.613 Å
α = 54.88°, β = 54.88°, γ = 90.00°
Fractional positions:
S  0.700  0.125  0.250
S  0.050  0.625  0.250
S  0.375  0.300  0.750
S  0.875  0.950  0.750
K  0.500  0.500  0.000
K  0.250  0.750  0.500
Hg  0.000  0.000  0.000
Hg  0.750  0.250  0.500

---

Computed, not measured: a geometry-optimized K4HgS3 structure at the PBE level of DFT.

Results
The value obtained for the total magnetization is 0.00 Bohr magnetons per cell. Its density of states at the Fermi level is 0.00 states/eV/cell. Its space group is Cc (9). Its electronic total energy is -0.223 Ry/atom. The formation energy without anion corrections comes out at -903 meV/atom.

a = 7.609 Å, b = 8.636 Å, c = 10.628 Å
α = 113.67°, β = 90.00°, γ = 116.14°
Fractional positions:
S  0.639  0.229  0.772
S  0.591  0.229  0.272
S  0.303  0.611  0.606
S  0.309  0.611  0.106
S  0.902  0.861  0.810
S  0.960  0.861  0.310
K  0.316  0.223  0.974
K  0.907  0.223  0.474
K  0.561  0.431  0.612
K  0.870  0.431  0.112
K  0.087  0.612  0.855
K  0.525  0.612  0.355
K  0.168  0.882  0.579
K  0.714  0.882  0.079
Hg  0.640  0.930  0.742
Hg  0.290  0.930  0.242

---

Computed, not measured: a geometry-optimized KHg2S structure at the PBE level of DFT.

Results
The value obtained for the total magnetization is 0.00 Bohr magnetons per cell. Its density of states at the Fermi level is 2.59 states/eV/cell. Its space group is R-3m (166). Its electronic total energy is -0.104 Ry/atom. The formation energy without anion corrections comes out at 44 meV/atom.

a = 4.334 Å, b = 4.334 Å, c = 9.532 Å
α = 76.86°, β = 76.86°, γ = 60.00°
Fractional positions:
S  0.500  0.500  0.500
K  0.000  0.000  0.000
Hg  0.117  0.117  0.648
Hg  0.883  0.883  0.352

---

Computed, not measured: a geometry-optimized KHg5S6 structure at the PBE level of DFT.

Results
The value obtained for the total magnetization is 0.00 Bohr magnetons per cell. Its density of states at the Fermi level is 10.43 states/eV/cell. Its space group is P-1 (2). Its electronic total energy is -0.181 Ry/atom. The formation energy without anion corrections comes out at -180 meV/atom.

a = 10.836 Å, b = 11.613 Å, c = 11.239 Å
α = 35.98°, β = 22.23°, γ = 40.38°
Fractional positions:
S  0.407  0.679  0.753
S  0.989  0.207  0.576
S  0.345  0.259  0.855
S  0.655  0.741  0.145
S  0.011  0.793  0.424
S  0.593  0.321  0.247
K  0.000  0.000  0.000
Hg  0.822  0.502  0.356
Hg  0.665  0.011  0.669
Hg  0.500  0.500  0.000
Hg  0.335  0.989  0.331
Hg  0.178  0.498  0.644

---

Computed, not measured: a geometry-optimized K2HgS4 structure at the PBE level of DFT.

Results
The value obtained for the total magnetization is 0.00 Bohr magnetons per cell. Its space group is C2/c (15). Its electronic total energy is -0.239 Ry/atom. The formation energy without anion corrections comes out at -532 meV/atom.

a = 6.007 Å, b = 6.007 Å, c = 12.255 Å
α = 77.39°, β = 77.39°, γ = 86.72°
Fractional positions:
K  0.724  0.239  0.950
K  0.761  0.276  0.550
K  0.276  0.761  0.050
K  0.239  0.724  0.450
Hg  0.773  0.227  0.250
Hg  0.227  0.773  0.750
S  0.762  0.664  0.107
S  0.336  0.238  0.393
S  0.238  0.336  0.893
S  0.664  0.762  0.607
S  0.107  0.412  0.297
S  0.588  0.893  0.203
S  0.893  0.588  0.703
S  0.412  0.107  0.797

---

Computed, not measured: a geometry-optimized K3HgS structure at the PBE level of DFT.

Results
The value obtained for the total magnetization is 0.00 Bohr magnetons per cell. Its density of states at the Fermi level is 5.08 states/eV/cell. Its space group is Pm-3m (221). Its electronic total energy is -0.158 Ry/atom. The formation energy without anion corrections comes out at -600 meV/atom.

a = 6.112 Å, b = 6.112 Å, c = 6.112 Å
α = 90.00°, β = 90.00°, γ = 90.00°
Fractional positions:
S  0.000  0.000  0.000
K  0.000  0.500  0.000
K  0.000  0.000  0.500
K  0.500  0.000  0.000
Hg  0.500  0.500  0.500

---

Computed, not measured: a geometry-optimized K2HgS2 structure at the PBE level of DFT.

Results
The value obtained for the total magnetization is 0.00 Bohr magnetons per cell. Its density of states at the Fermi level is 2.14 states/eV/cell. Its space group is I4/mmm (139). Its electronic total energy is -0.172 Ry/atom. The formation energy without anion corrections comes out at -190 meV/atom.

a = 4.740 Å, b = 4.740 Å, c = 8.370 Å
α = 73.55°, β = 73.55°, γ = 90.00°
Fractional positions:
S  0.750  0.250  0.500
S  0.250  0.750  0.500
K  0.370  0.370  0.261
K  0.630  0.630  0.739
Hg  0.000  0.000  0.000

---

Computed, not measured: a geometry-optimized KHg2S2 structure at the PBE level of DFT.

Results
The value obtained for the total magnetization is 0.00 Bohr magnetons per cell. Its density of states at the Fermi level is 4.85 states/eV/cell. Its space group is P4/mbm (127). Its electronic total energy is -0.168 Ry/atom. The formation energy without anion corrections comes out at -288 meV/atom.

a = 8.928 Å, b = 8.928 Å, c = 4.254 Å
α = 90.00°, β = 90.00°, γ = 90.00°
Fractional positions:
S  0.213  0.713  0.000
S  0.713  0.787  0.000
S  0.787  0.287  0.000
S  0.287  0.213  0.000
K  0.000  0.000  0.000
K  0.500  0.500  0.000
Hg  0.110  0.610  0.500
Hg  0.610  0.890  0.500
Hg  0.890  0.390  0.500
Hg  0.390  0.110  0.500

---

Computed, not measured: a geometry-optimized KHg2S structure at the PBE level of DFT.

Results
The value obtained for the total magnetization is 0.00 Bohr magnetons per cell. Its density of states at the Fermi level is 5.74 states/eV/cell. Its space group is I-42d (122). Its electronic total energy is -0.128 Ry/atom. The formation energy without anion corrections comes out at -282 meV/atom.

a = 9.014 Å, b = 9.014 Å, c = 7.029 Å
α = 50.12°, β = 50.12°, γ = 90.00°
Fractional positions:
S  0.500  0.500  0.000
S  0.250  0.750  0.500
K  0.000  0.000  0.000
K  0.750  0.250  0.500
Hg  0.556  0.125  0.250
Hg  0.194  0.625  0.250
Hg  0.375  0.444  0.750
Hg  0.875  0.806  0.750